Here is a geometry-optimized ErCoNi4 structure from Alexandria via LeMat-Bulk. Energies are from PBE.

Computed properties:
VASP energy	-70.85	eV/cell
ΔH_f (0 K)	-2.431	kcal/mol of atoms
magnetization	2.8	μB per formula unit
symmetry	Pmma
DOS(E_F)	15.06	states/eV per cell

a = 6.9263 Å, b = 3.7488 Å, c = 6.3157 Å
α = 90.00°, β = 90.00°, γ = 90.00°
With the nearest neighbours (Å) after each atom.
Sites, in units of the cell vectors:
Er  0.2500  0.0000  0.1375  1 Co 2.59, 8 Ni 2.82-2.87
Er  0.7500  0.0000  0.8625  1 Co 2.59, 8 Ni 2.82-2.87
Co  0.2500  0.0000  0.7268  8 Ni 2.25-2.48
Co  0.7500  0.0000  0.2732  8 Ni 2.25-2.48
Ni  0.0000  0.0000  0.5000  2 Co 2.25
Ni  0.0552  0.5000  0.8004  2 Co 2.36, 2 Ni 2.48-2.63
Ni  0.2500  0.5000  0.4707  2 Co 2.48, 8 Ni 2.48-2.72
Ni  0.4448  0.5000  0.8004  2 Co 2.36, 2 Ni 2.48-2.63
Ni  0.5000  0.0000  0.5000  2 Co 2.25
Ni  0.5552  0.5000  0.1996  2 Co 2.36, 2 Ni 2.48-2.63
Ni  0.7500  0.5000  0.5293  2 Co 2.48, 8 Ni 2.48-2.72
Ni  0.9448  0.5000  0.1996  2 Co 2.36, 2 Ni 2.48-2.63